1.
! Np2I8Br, relaxed, DFT GGA-PBE; values from VASP
! SG: No. 12
! Formation energy without anion corrections: -7.7 eV per formula unit
! Size of the total moment: 0.455 μB per atom
! D(E_F): 19.2 states/eV per cell
&SYSTEM
  ibrav = 0, nat = 11, ntyp = 3
/
ATOMIC_SPECIES
Np 237.00 Np.upf
I 126.90 I.upf
Br 79.90 Br.upf
ATOMIC_POSITIONS crystal
Np 0.192 0.192 0.002
Np 0.808 0.808 0.998
I 0.129 0.129 0.670
I 0.177 0.552 0.003
I 0.262 0.262 0.334
I 0.448 0.823 0.997
I 0.552 0.177 0.003
I 0.738 0.738 0.666
I 0.823 0.448 0.997
I 0.871 0.871 0.330
Br 0.000 0.000 0.000
CELL_PARAMETERS angstrom
7.563 -4.789 0.000
7.563 4.789 0.000
-3.085 0.000 8.687



2.
! Np2I6Br, relaxed, DFT GGA-PBE; values from VASP
! SG: No. 1
! Formation energy without anion corrections: -7.8 eV per formula unit
! Size of the total moment: 0.778 μB per atom
! D(E_F): 11.0 states/eV per cell
&SYSTEM
  ibrav = 0, nat = 9, ntyp = 3
/
ATOMIC_SPECIES
Np 237.00 Np.upf
I 126.90 I.upf
Br 79.90 Br.upf
ATOMIC_POSITIONS crystal
Np 0.000 0.000 0.000
Np 0.281 0.430 0.141
I 0.051 0.203 0.218
I 0.439 0.716 0.069
I 0.547 0.183 0.435
I 0.548 0.221 0.928
I 0.988 0.729 0.838
I 0.992 0.697 0.305
Br 0.034 0.232 0.732
CELL_PARAMETERS angstrom
7.789 0.000 0.000
3.856 7.521 0.000
0.234 2.984 8.357



3.
! Np3I3Br5, relaxed, DFT GGA-PBE; values from VASP
! SG: No. 189
! Formation energy without anion corrections: -11.3 eV per formula unit
! Size of the total moment: 1.182 μB per atom
! D(E_F): 16.3 states/eV per cell
&SYSTEM
  ibrav = 0, nat = 11, ntyp = 3
/
ATOMIC_SPECIES
Np 237.00 Np.upf
I 126.90 I.upf
Br 79.90 Br.upf
ATOMIC_POSITIONS crystal
Np 0.000 0.360 0.000
Np 0.360 0.000 0.000
Np 0.640 0.640 0.000
I 0.000 0.392 0.500
I 0.392 0.000 0.500
I 0.608 0.608 0.500
Br 0.000 0.748 0.000
Br 0.252 0.252 0.000
Br 0.333 0.667 0.000
Br 0.667 0.333 0.000
Br 0.748 0.000 0.000
CELL_PARAMETERS angstrom
9.281 0.000 0.000
-4.641 8.038 0.000
0.000 0.000 6.191



4.
! NpIBr, relaxed, DFT GGA-PBE; values from VASP
! SG: No. 187
! Formation energy without anion corrections: -1.9 eV per formula unit
! Size of the total moment: 1.664 μB per atom
! D(E_F): 9.8 states/eV per cell
&SYSTEM
  ibrav = 0, nat = 3, ntyp = 3
/
ATOMIC_SPECIES
Np 237.00 Np.upf
I 126.90 I.upf
Br 79.90 Br.upf
ATOMIC_POSITIONS crystal
Np 0.000 0.000 0.000
I 0.667 0.333 0.500
Br 0.333 0.667 0.000
CELL_PARAMETERS angstrom
5.198 0.000 0.000
-2.599 4.502 0.000
0.000 0.000 3.865



5.
! RbNpI2Br6, relaxed, DFT GGA-PBE; values from VASP
! SG: No. 1
! Formation energy without anion corrections: -10.0 eV per formula unit
! Size of the total moment: 0.199 μB per atom
! D(E_F): 7.3 states/eV per cell
&SYSTEM
  ibrav = 0, nat = 10, ntyp = 4
/
ATOMIC_SPECIES
Rb 85.47 Rb.upf
Np 237.00 Np.upf
I 126.90 I.upf
Br 79.90 Br.upf
ATOMIC_POSITIONS crystal
Rb 0.000 0.000 0.000
Np 0.310 0.597 0.527
I 0.661 0.803 0.937
I 0.957 0.407 0.133
Br 0.250 0.706 0.771
Br 0.284 0.246 0.726
Br 0.331 0.948 0.324
Br 0.374 0.487 0.284
Br 0.694 0.389 0.619
Br 0.929 0.811 0.427
CELL_PARAMETERS angstrom
7.994 0.000 0.000
3.971 7.115 0.000
0.975 4.097 8.190



6.
! Rb2NpI3Br3, relaxed, DFT GGA-PBE; values from VASP
! SG: No. 189
! Formation energy without anion corrections: -10.9 eV per formula unit
! Size of the total moment: 0.324 μB per atom
! D(E_F): 9.6 states/eV per cell
&SYSTEM
  ibrav = 0, nat = 9, ntyp = 4
/
ATOMIC_SPECIES
Rb 85.47 Rb.upf
Np 237.00 Np.upf
I 126.90 I.upf
Br 79.90 Br.upf
ATOMIC_POSITIONS crystal
Rb 0.333 0.667 0.000
Rb 0.667 0.333 0.000
Np 0.000 0.000 0.500
I 0.000 0.361 0.500
I 0.361 0.000 0.500
I 0.639 0.639 0.500
Br 0.000 0.783 0.000
Br 0.217 0.217 0.000
Br 0.783 0.000 0.000
CELL_PARAMETERS angstrom
9.243 0.000 0.000
-4.622 8.005 0.000
0.000 0.000 4.536